A crystal of NbGaS2N relaxed with PBEsol, computed with SCAN.

Geometry as CIF:
```
data_NbGaS2N
_cell_length_a 4.682
_cell_length_b 4.682
_cell_length_c 3.597
_cell_angle_alpha 90.00
_cell_angle_beta 90.00
_cell_angle_gamma 90.00
_space_group_name_H-M_alt 'P 1'
_space_group_IT_number 1
loop_
_space_group_symop_operation_xyz
'x,y,z'
loop_
_atom_site_label
_atom_site_type_symbol
_atom_site_fract_x
_atom_site_fract_y
_atom_site_fract_z
Nb1 Nb 0.000 0.000 0.000
Ga1 Ga 0.500 0.500 0.500
S1 S 0.000 0.500 0.500
S2 S 0.500 0.000 0.500
N1 N 0.500 0.500 0.000
```

Results
Symmetry   P4/mmm (123)
Formation energy without anion corrections   0.48 eV per atom